(1)
KTlCd2 | GGA-PBEsol | relaxed

Structure (POSCAR):
```
KTlCd2
1.0
0.0000 3.7721 3.7721
3.7721 0.0000 3.7721
3.7721 3.7721 0.0000
K Tl Cd
1 1 2
direct
0.0000 0.0000 0.0000
0.5000 0.5000 0.5000
0.2500 0.2500 0.2500
0.7500 0.7500 0.7500
```

Energy of formation from the pure elements (eV per atom): 0.03
ΔE to the lowest computed polymorph (eV per atom): 0.036
Magnetic moment (μB/f.u.): 0.0

(2)
Cr4MoRh | GGA-PBEsol | relaxed

Structure (POSCAR):
```
Cr4MoRh
1.0
0.0000 3.3268 3.3268
3.3268 0.0000 3.3268
3.3268 3.3268 0.0000
Cr Mo Rh
4 1 1
direct
0.3763 0.3763 0.3763
0.3763 0.3763 0.8711
0.3763 0.8711 0.3763
0.8711 0.3763 0.3763
0.7500 0.7500 0.7500
0.0000 0.0000 0.0000
```

Energy of formation from the pure elements (eV per atom): 0.03
Magnetic moment (μB/f.u.): 0.0

(3)
SrMg2Ag | GGA-PBEsol | relaxed

Structure (POSCAR):
```
SrMg2Ag
1.0
3.6679 0.0000 0.0000
0.0000 3.6679 0.0000
0.0000 0.0000 7.6385
Sr Mg Ag
1 2 1
direct
0.0000 0.0000 0.0000
0.0000 0.0000 0.4452
0.5000 0.5000 0.6727
0.5000 0.5000 0.2819
```

Energy of formation from the pure elements (eV per atom): -0.10
Magnetic moment (μB/f.u.): 0.0

(4)
KRb2AsBr6 | GGA-PBEsol | relaxed

Structure (POSCAR):
```
KRb2AsBr6
1.0
0.0000 5.6628 5.6628
5.6628 0.0000 5.6628
5.6628 5.6628 0.0000
K Rb As Br
1 2 1 6
direct
0.0000 0.0000 0.0000
0.2500 0.2500 0.2500
0.7500 0.7500 0.7500
0.5000 0.5000 0.5000
0.2687 0.2687 0.7313
0.2687 0.7313 0.2687
0.2687 0.7313 0.7313
0.7313 0.2687 0.2687
0.7313 0.2687 0.7313
0.7313 0.7313 0.2687
```

Energy relative to the elements, uncorrected (eV/f.u.): -11.8
Magnetic moment (μB/f.u.): 0.0

(5)
KTaTi2Cl | GGA-PBEsol | relaxed

Structure (POSCAR):
```
KTaTi2Cl
1.0
4.6510 0.0000 0.0000
0.0000 4.6510 0.0000
0.0000 0.0000 4.6561
K Ta Ti Cl
1 1 2 1
direct
0.0000 0.0000 0.0000
0.5000 0.5000 0.0000
0.0000 0.5000 0.5000
0.5000 0.0000 0.5000
0.5000 0.5000 0.5000
```

ΔE to the lowest computed polymorph (eV per atom): 0.000
Energy relative to the elements, uncorrected (eV/f.u.): 4.4
Magnetic moment (μB/f.u.): 0.4

(6)
Co2AgOs | GGA-PBEsol | relaxed

Structure (POSCAR):
```
Co2AgOs
1.0
1.3208 0.7626 8.5915
-1.3208 0.7626 8.5915
0.0000 -1.5251 8.5915
Co Ag Os
2 1 1
direct
0.0000 0.0000 0.0000
0.2607 0.2607 0.2607
0.5067 0.5067 0.5067
0.7445 0.7445 0.7445
```

Energy of formation from the pure elements (eV per atom): 0.36
ΔE to the lowest computed polymorph (eV per atom): 0.000
Magnetic moment (μB/f.u.): 3.0

(7)
SnH6CI3N | GGA-PBEsol | relaxed

Structure (POSCAR):
```
SnH6CI3N
1.0
8.6902 0.0000 0.0000
-0.1496 8.7611 0.0000
-0.2033 -0.2638 12.2903
Sn H C I N
4 24 4 12 4
direct
0.0000 0.0000 0.0000
0.0017 0.0100 0.4987
0.4911 0.5044 0.5020
0.5066 0.5046 0.9989
0.0050 0.5814 0.1273
0.0135 0.3913 0.1307
0.0442 0.6041 0.6284
0.0733 0.5802 0.8252
0.0918 0.3987 0.7556
0.1598 0.4966 0.1858
0.3778 0.8873 0.7554
0.3787 0.1349 0.1855
0.4059 0.9684 0.1194
0.4211 0.9329 0.3153
0.4398 0.0592 0.8272
0.4629 0.0888 0.6333
0.5480 0.1031 0.1265
0.5655 0.8972 0.8192
0.5733 0.0753 0.3231
0.5746 0.9332 0.6212
0.6025 0.8970 0.2514
0.6415 0.0864 0.6892
0.8363 0.4862 0.2662
0.8796 0.6468 0.6896
0.8955 0.4768 0.6250
0.9141 0.4454 0.8212
0.9916 0.6009 0.3249
0.9989 0.3953 0.3280
0.0125 0.4910 0.7761
0.4770 0.9623 0.7763
0.5181 0.9846 0.2721
0.9614 0.4937 0.2809
0.0557 0.0442 0.2561
0.2412 0.7512 0.5182
0.2438 0.2605 0.9709
0.2511 0.2509 0.5549
0.2650 0.7630 0.0033
0.4413 0.4626 0.2541
0.5526 0.5202 0.7557
0.7284 0.7687 0.4789
0.7517 0.2491 0.0212
0.7598 0.2697 0.5037
0.7661 0.7439 0.0517
0.9425 0.9661 0.7545
0.0400 0.4909 0.1751
0.4596 0.0515 0.1703
0.5423 0.0210 0.6746
0.9546 0.5581 0.6742
```

Electronic total energy (eV per atom): -4.34
Magnetic moment (μB/f.u.): 0.0

(8)
TcSbTeI2 | GGA-PBEsol | relaxed

Structure (POSCAR):
```
TcSbTeI2
1.0
5.1899 0.0000 0.0000
0.0000 5.1899 0.0000
0.0000 0.0000 5.2746
Tc Sb Te I
1 1 1 2
direct
0.0000 0.0000 0.0000
0.0000 0.0000 0.5000
0.5000 0.5000 0.5000
0.0000 0.5000 0.0000
0.5000 0.0000 0.0000
```

ΔE to the lowest computed polymorph (eV per atom): 0.000
Energy relative to the elements, uncorrected (eV/f.u.): 2.5
Magnetic moment (μB/f.u.): 0.4

(9)
TlCd2Sn2 | GGA-PBEsol | relaxed

Structure (POSCAR):
```
TlCd2Sn2
1.0
8.9617 0.0000 0.0000
0.0000 8.9617 0.0000
0.0000 0.0000 3.1984
Tl Cd Sn
2 4 4
direct
0.0000 0.0000 0.0000
0.5000 0.5000 0.0000
0.1493 0.3507 0.5000
0.3507 0.8507 0.5000
0.6493 0.1493 0.5000
0.8507 0.6493 0.5000
0.1475 0.6475 0.0000
0.3525 0.1475 0.0000
0.6475 0.8525 0.0000
0.8525 0.3525 0.0000
```

Energy of formation from the pure elements (eV per atom): 0.07
ΔE to the lowest computed polymorph (eV per atom): 0.011
Magnetic moment (μB/f.u.): 0.0

(10)
YNbTe2N | GGA-PBEsol | relaxed

Structure (POSCAR):
```
YNbTe2N
1.0
5.7410 0.0000 0.0000
0.0000 5.7410 0.0000
0.0000 0.0000 4.0174
Y Nb Te N
1 1 2 1
direct
0.0000 0.0000 0.0000
0.5000 0.5000 0.5000
0.0000 0.5000 0.0000
0.5000 0.0000 0.0000
0.0000 0.0000 0.5000
```

Energy relative to the elements, uncorrected (eV/f.u.): 3.2
Magnetic moment (μB/f.u.): 1.8

(11)
SrPt2Cl | GGA-PBEsol | relaxed

Structure (POSCAR):
```
SrPt2Cl
1.0
-2.0391 2.7064 3.8871
2.0391 -2.7064 3.8871
2.0391 2.7064 -3.8871
Sr Pt Cl
1 2 1
direct
0.0000 0.0000 0.0000
0.3112 0.8112 0.5000
0.4971 0.4971 0.0000
0.7123 0.2123 0.5000
```

ΔE to the lowest computed polymorph (eV per atom): 0.000
Energy relative to the elements, uncorrected (eV/f.u.): -1.5
Magnetic moment (μB/f.u.): 0.0

(12)
Ca2AuBr2 | GGA-PBEsol | relaxed

Structure (POSCAR):
```
Ca2AuBr2
1.0
-2.2964 2.2964 6.9219
2.2964 -2.2964 6.9219
2.2964 2.2964 -6.9219
Ca Au Br
2 1 2
direct
0.1239 0.1239 0.0000
0.8761 0.8761 0.0000
0.5000 0.5000 0.0000
0.2500 0.7500 0.5000
0.7500 0.2500 0.5000
```

Energy relative to the elements, uncorrected (eV/f.u.): -5.3
Magnetic moment (μB/f.u.): 0.0